# 1
DFT (GGA-PBE) results for a relaxed structure of Ac8TlCoPt2.

```
Ac8TlCoPt2
1.0
-4.0230 -5.3102 3.8263
-1.0333 -3.8192 -6.0799
6.1252 -5.1609 -0.3084
Ac Tl Pt Co
8 1 2 1
direct
0.9081 0.3350 0.7115
0.7137 0.8228 0.9155
0.5963 0.7547 0.4396
0.2294 0.7280 0.8365
0.4037 0.2453 0.5604
0.0919 0.6650 0.2885
0.2863 0.1772 0.0845
0.7706 0.2720 0.1635
0.0000 0.0000 0.5000
0.4488 0.5363 0.1923
0.5512 0.4637 0.8077
0.0000 0.0000 0.0000
```

**Symmetry**: No. 2
**V**: 35.90 Å³/atom
**Crystal system**: triclinic

---

# 2
DFT (GGA-PBE) results for a relaxed structure of Ac2Zn6CoPt.

```
Ac2Zn6CoPt
1.0
-4.7844 4.5186 1.4799
-0.2108 -2.2918 6.3408
0.8593 4.2656 5.1683
Pt Ac Co Zn
1 2 1 6
direct
0.0000 0.0000 0.0000
0.7500 0.2501 0.4998
0.2500 0.7499 0.5001
0.5000 0.5000 0.0000
0.7411 0.2587 0.0000
0.7413 0.7413 0.9999
0.2587 0.2587 0.0001
0.2587 0.2587 0.4825
0.7413 0.7413 0.5175
0.2589 0.7413 0.0000
```

**Symmetry**: No. 71
**V**: 21.72 Å³/atom
**Crystal system**: orthorhombic

---

# 3
DFT (GGA-PBE) results for a relaxed structure of AcPuCo4.

```
AcPuCo4
1.0
5.1743 0.0000 0.0000
2.5872 4.4811 0.0000
2.5872 1.4937 4.2248
Ac Co Pu
1 4 1
direct
0.2500 0.2500 0.2500
0.6273 0.6273 0.1180
0.6273 0.1180 0.6273
0.1180 0.6273 0.6273
0.6273 0.6273 0.6273
0.0000 0.0000 0.0000
```

**Symmetry**: No. 216
**V**: 16.33 Å³/atom
**Crystal system**: cubic

---

# 4
DFT (GGA-PBE) results for a relaxed structure of Ac3PuCo.

```
Ac3PuCo
1.0
-1.4857 -4.9137 2.4301
5.3126 -1.9113 -0.6167
1.3513 2.1118 5.0963
Ac Pu Co
3 1 1
direct
0.0000 0.0000 0.5000
0.0000 0.5000 0.0000
0.5000 0.0000 0.0000
0.5000 0.5000 0.5000
0.0000 0.0000 0.0000
```

**Symmetry**: No. 221
**V**: 36.64 Å³/atom
**Crystal system**: cubic

---

Number 1: energy -59.64 eV per cell. Number 2: energy -32.01 eV per cell. Number 3: energy -46.61 eV per cell. Number 4: energy -32.77 eV per cell.